A geometry-optimized BiPb2 structure. Source: Alexandria, functional PBE-GGA.

Calculated values
The calculation puts the formation energy at 8.5 kJ per mole of atoms. The relative energy among the computed polymorphs comes out at 0.146 eV/f.u.

a b c (Å): 6.7472 6.7472 6.7472
angles (deg): 124.53 124.53 82.32
With the nearest neighbours (Å) after each atom.
Positions (direct):
1 Bi 0.3750 0.6250 0.7500  6 Pb 3.25-3.36
2 Bi 0.6250 0.3750 0.2500  6 Pb 3.25-3.36
3 Pb 0.0443 0.2943 0.7500  3 Bi 3.25-3.36, 3 Pb 3.27-3.44
4 Pb 0.2943 0.0443 0.2500  3 Bi 3.25-3.36, 3 Pb 3.27-3.44
5 Pb 0.7057 0.9557 0.7500  3 Bi 3.25-3.36, 3 Pb 3.27-3.44
6 Pb 0.9557 0.7057 0.2500  3 Bi 3.25-3.36, 3 Pb 3.27-3.44